VASP calculation (GGA+U) on a relaxed structure of ZrTaFeO6.

Summary:
* total magnetization: 5.99 μB per cell
* raw total energy: -8.70 eV per atom

a b c (Å): 4.830 4.830 9.293
angles (deg): 90.00 90.00 90.00
Each line ends with the local moment (μB).
Fractional coordinates of all 18 atoms:
O (0.299, 0.299, 0.340)  -0.05
Zr (0.500, 0.500, 0.171)  0.02
O (0.799, 0.201, 0.840)  -0.05
O (0.194, 0.806, 0.490)  0.04
O (0.314, 0.314, 0.666)  -0.06
Zr (0.000, 0.000, 0.671)  0.02
Fe (0.000, 0.000, 0.002)  3.07
Ta (0.500, 0.500, 0.837)  0.03
O (0.306, 0.306, 0.990)  0.04
O (0.701, 0.701, 0.340)  -0.05
O (0.694, 0.694, 0.990)  0.04
Ta (0.000, 0.000, 0.337)  0.03
O (0.814, 0.186, 0.166)  -0.06
O (0.201, 0.799, 0.840)  -0.05
Fe (0.500, 0.500, 0.502)  3.07
O (0.686, 0.686, 0.666)  -0.06
O (0.806, 0.194, 0.490)  0.04
O (0.186, 0.814, 0.166)  -0.06